[1]
# Pm2ScNiO6 PBE+U optimized geometry
# Crystal system: monoclinic
# Magnetic moment (μB/f.u.): 1.00
# Energy (eV per atom): -7.5880
data_Pm2ScNiO6
_cell_length_a 5.412
_cell_length_b 5.571
_cell_length_c 9.632
_cell_angle_alpha 90.00
_cell_angle_beta 122.25
_cell_angle_gamma 90.00
_symmetry_space_group_name_H-M 'P 1'
_symmetry_Int_Tables_number 1
loop_
_symmetry_equiv_pos_as_xyz
'x,y,z'
loop_
_atom_site_label
_atom_site_type_symbol
_atom_site_fract_x
_atom_site_fract_y
_atom_site_fract_z
_atom_site_occupancy
Pm1 Pm 0.228 0.055 0.246 1
Pm2 Pm 0.228 0.445 0.746 1
Pm3 Pm 0.772 0.555 0.254 1
Pm4 Pm 0.772 0.945 0.754 1
Sc1 Sc 0.500 0.000 0.000 1
Sc2 Sc 0.500 0.500 0.500 1
Ni1 Ni 0.000 0.000 0.500 1
Ni2 Ni 0.000 0.500 0.000 1
O1 O 0.142 0.216 0.947 1
O2 O 0.142 0.284 0.447 1
O3 O 0.223 0.698 0.942 1
O4 O 0.223 0.802 0.442 1
O5 O 0.356 0.032 0.754 1
O6 O 0.356 0.468 0.254 1
O7 O 0.644 0.532 0.746 1
O8 O 0.644 0.968 0.246 1
O9 O 0.777 0.198 0.558 1
O10 O 0.777 0.302 0.058 1
O11 O 0.858 0.716 0.553 1
O12 O 0.858 0.784 0.053 1

***

[2]
# PmNiSe2O8 PBE+U optimized geometry
# Crystal system: tetragonal
# Magnetic moment (μB/f.u.): 1.00
# Energy (eV per atom): -5.6616
data_PmNiSe2O8
_cell_length_a 6.853
_cell_length_b 6.853
_cell_length_c 6.853
_cell_angle_alpha 136.42
_cell_angle_beta 136.42
_cell_angle_gamma 63.34
_symmetry_space_group_name_H-M 'P 1'
_symmetry_Int_Tables_number 1
loop_
_symmetry_equiv_pos_as_xyz
'x,y,z'
loop_
_atom_site_label
_atom_site_type_symbol
_atom_site_fract_x
_atom_site_fract_y
_atom_site_fract_z
_atom_site_occupancy
Pm1 Pm 0.000 0.000 0.000 1
Ni1 Ni 0.250 0.750 0.500 1
Se1 Se 0.500 0.500 0.000 1
Se2 Se 0.750 0.250 0.500 1
O1 O 0.285 0.668 0.105 1
O2 O 0.332 0.437 0.617 1
O3 O 0.430 0.031 0.114 1
O4 O 0.563 0.179 0.895 1
O5 O 0.684 0.570 0.601 1
O6 O 0.821 0.715 0.383 1
O7 O 0.917 0.316 0.886 1
O8 O 0.969 0.083 0.399 1

***

[3]
# PmNiSeO5 PBE+U optimized geometry
# Crystal system: monoclinic
# Magnetic moment (μB/f.u.): 3.00
# Energy (eV per atom): -5.8549
data_PmNiSeO5
_cell_length_a 6.339
_cell_length_b 6.339
_cell_length_c 7.789
_cell_angle_alpha 98.88
_cell_angle_beta 98.88
_cell_angle_gamma 117.45
_symmetry_space_group_name_H-M 'P 1'
_symmetry_Int_Tables_number 1
loop_
_symmetry_equiv_pos_as_xyz
'x,y,z'
loop_
_atom_site_label
_atom_site_type_symbol
_atom_site_fract_x
_atom_site_fract_y
_atom_site_fract_z
_atom_site_occupancy
Pm1 Pm 0.000 0.500 0.000 1
Pm2 Pm 0.500 0.000 0.500 1
Ni1 Ni 0.006 0.994 0.250 1
Ni2 Ni 0.994 0.006 0.750 1
Se1 Se 0.476 0.524 0.750 1
Se2 Se 0.524 0.476 0.250 1
O1 O 0.157 0.274 0.157 1
O2 O 0.177 0.823 0.250 1
O3 O 0.274 0.157 0.657 1
O4 O 0.374 0.620 0.917 1
O5 O 0.380 0.626 0.583 1
O6 O 0.620 0.374 0.417 1
O7 O 0.626 0.380 0.083 1
O8 O 0.726 0.843 0.343 1
O9 O 0.823 0.177 0.750 1
O10 O 0.843 0.726 0.843 1

***

[4]
# PmNi3Se4O12 PBE+U optimized geometry
# Crystal system: trigonal
# Magnetic moment (μB/f.u.): 5.56
# Energy (eV per atom): -5.1898
data_PmNi3Se4O12
_cell_length_a 6.688
_cell_length_b 6.688
_cell_length_c 6.688
_cell_angle_alpha 105.60
_cell_angle_beta 105.60
_cell_angle_gamma 105.60
_symmetry_space_group_name_H-M 'P 1'
_symmetry_Int_Tables_number 1
loop_
_symmetry_equiv_pos_as_xyz
'x,y,z'
loop_
_atom_site_label
_atom_site_type_symbol
_atom_site_fract_x
_atom_site_fract_y
_atom_site_fract_z
_atom_site_occupancy
Pm1 Pm 0.000 0.000 0.000 1
Ni1 Ni 0.000 0.578 0.422 1
Ni2 Ni 0.422 0.000 0.578 1
Ni3 Ni 0.578 0.422 0.000 1
Se1 Se 0.108 0.500 0.892 1
Se2 Se 0.500 0.500 0.500 1
Se3 Se 0.500 0.892 0.108 1
Se4 Se 0.892 0.108 0.500 1
O1 O 0.007 0.255 0.332 1
O2 O 0.054 0.946 0.500 1
O3 O 0.255 0.332 0.007 1
O4 O 0.325 0.675 0.500 1
O5 O 0.332 0.007 0.255 1
O6 O 0.500 0.054 0.946 1
O7 O 0.500 0.325 0.675 1
O8 O 0.668 0.745 0.993 1
O9 O 0.675 0.500 0.325 1
O10 O 0.745 0.993 0.668 1
O11 O 0.946 0.500 0.054 1
O12 O 0.993 0.668 0.745 1

***

[5]
# Pm2SiNiO6 PBE+U optimized geometry
# Crystal system: monoclinic
# Magnetic moment (μB/f.u.): 1.93
# Energy (eV per atom): -7.4995
data_Pm2SiNiO6
_cell_length_a 5.357
_cell_length_b 5.427
_cell_length_c 9.277
_cell_angle_alpha 90.00
_cell_angle_beta 125.08
_cell_angle_gamma 90.00
_symmetry_space_group_name_H-M 'P 1'
_symmetry_Int_Tables_number 1
loop_
_symmetry_equiv_pos_as_xyz
'x,y,z'
loop_
_atom_site_label
_atom_site_type_symbol
_atom_site_fract_x
_atom_site_fract_y
_atom_site_fract_z
_atom_site_occupancy
Pm1 Pm 0.240 0.044 0.250 1
Pm2 Pm 0.240 0.456 0.750 1
Pm3 Pm 0.760 0.544 0.250 1
Pm4 Pm 0.760 0.956 0.750 1
Si1 Si 0.000 0.000 0.500 1
Si2 Si 0.000 0.500 0.000 1
Ni1 Ni 0.500 0.000 0.000 1
Ni2 Ni 0.500 0.500 0.500 1
O1 O 0.152 0.230 0.957 1
O2 O 0.152 0.270 0.457 1
O3 O 0.227 0.697 0.960 1
O4 O 0.227 0.803 0.460 1
O5 O 0.309 0.017 0.732 1
O6 O 0.309 0.483 0.232 1
O7 O 0.691 0.517 0.768 1
O8 O 0.691 0.983 0.268 1
O9 O 0.773 0.197 0.540 1
O10 O 0.773 0.303 0.040 1
O11 O 0.848 0.730 0.543 1
O12 O 0.848 0.770 0.043 1

***

[6]
# Pm2NiSnO6 PBE+U optimized geometry
# Crystal system: monoclinic
# Magnetic moment (μB/f.u.): 2.00
# Energy (eV per atom): -7.0265
data_Pm2NiSnO6
_cell_length_a 5.527
_cell_length_b 5.807
_cell_length_c 9.638
_cell_angle_alpha 90.00
_cell_angle_beta 124.20
_cell_angle_gamma 90.00
_symmetry_space_group_name_H-M 'P 1'
_symmetry_Int_Tables_number 1
loop_
_symmetry_equiv_pos_as_xyz
'x,y,z'
loop_
_atom_site_label
_atom_site_type_symbol
_atom_site_fract_x
_atom_site_fract_y
_atom_site_fract_z
_atom_site_occupancy
Pm1 Pm 0.229 0.063 0.249 1
Pm2 Pm 0.229 0.437 0.749 1
Pm3 Pm 0.771 0.563 0.251 1
Pm4 Pm 0.771 0.937 0.751 1
Ni1 Ni 0.000 0.000 0.500 1
Ni2 Ni 0.000 0.500 0.000 1
Sn1 Sn 0.500 0.000 0.000 1
Sn2 Sn 0.500 0.500 0.500 1
O1 O 0.140 0.196 0.943 1
O2 O 0.140 0.304 0.443 1
O3 O 0.246 0.701 0.940 1
O4 O 0.246 0.799 0.440 1
O5 O 0.365 0.042 0.751 1
O6 O 0.365 0.458 0.251 1
O7 O 0.635 0.542 0.749 1
O8 O 0.635 0.958 0.249 1
O9 O 0.754 0.201 0.560 1
O10 O 0.754 0.299 0.060 1
O11 O 0.860 0.696 0.557 1
O12 O 0.860 0.804 0.057 1

***

[7]
# PmNi2SnO6 PBE+U optimized geometry
# Crystal system: triclinic
# Magnetic moment (μB/f.u.): 3.00
# Energy (eV per atom): -6.0779
data_PmNi2SnO6
_cell_length_a 5.373
_cell_length_b 5.375
_cell_length_c 5.640
_cell_angle_alpha 61.57
_cell_angle_beta 90.00
_cell_angle_gamma 60.08
_symmetry_space_group_name_H-M 'P 1'
_symmetry_Int_Tables_number 1
loop_
_symmetry_equiv_pos_as_xyz
'x,y,z'
loop_
_atom_site_label
_atom_site_type_symbol
_atom_site_fract_x
_atom_site_fract_y
_atom_site_fract_z
_atom_site_occupancy
Pm1 Pm 0.000 0.000 0.000 1
Ni1 Ni 0.273 0.455 0.818 1
Ni2 Ni 0.779 0.441 0.339 1
Sn1 Sn 0.480 0.040 0.439 1
O1 O 0.061 0.498 0.122 1
O2 O 0.167 0.945 0.605 1
O3 O 0.441 0.940 0.121 1
O4 O 0.550 0.284 0.604 1
O5 O 0.620 0.320 0.122 1
O6 O 0.888 0.563 0.604 1

***

[8]
# SrPmNiO4 PBE+U optimized geometry
# Crystal system: tetragonal
# Magnetic moment (μB/f.u.): 1.00
# Energy (eV per atom): -6.4306
data_SrPmNiO4
_cell_length_a 6.734
_cell_length_b 6.734
_cell_length_c 6.734
_cell_angle_alpha 147.00
_cell_angle_beta 147.00
_cell_angle_gamma 47.37
_symmetry_space_group_name_H-M 'P 1'
_symmetry_Int_Tables_number 1
loop_
_symmetry_equiv_pos_as_xyz
'x,y,z'
loop_
_atom_site_label
_atom_site_type_symbol
_atom_site_fract_x
_atom_site_fract_y
_atom_site_fract_z
_atom_site_occupancy
Sr1 Sr 0.000 0.000 0.000 1
Pm1 Pm 0.720 0.720 0.000 1
Ni1 Ni 0.361 0.361 0.000 1
O1 O 0.196 0.196 0.000 1
O2 O 0.349 0.849 0.500 1
O3 O 0.532 0.532 0.000 1
O4 O 0.849 0.349 0.500 1